Entry 1:
A plane-wave DFT calculation with GGA-PBE was carried out for a geometry-optimized AlRh2Au structure.

Calculated values
**Symmetry**: P4/mmm, No. 123
**Crystal system**: tetragonal
**VASP energy**: -5.80 eV/atom
**DFT formation energy**: -0.3722 eV per atom

a b c (Å): 3.6580 4.0441 4.0441
angles (deg): 90.00 90.00 90.00
Fractional coordinates of all 4 atoms:
Rh1 0.0000 0.0000 0.0000
Rh2 0.0000 0.5000 0.5000
Al1 0.5000 0.5000 0.0000
Au1 0.5000 0.0000 0.5000

=====

Entry 2:
A plane-wave DFT calculation with GGA-PBE was carried out for a geometry-optimized SiTeH3 structure.

Calculated values
**Symmetry**: Pm-3m, No. 221
**Polymorph energy (0 for the lowest one)**: 1.018 eV per atom
**Crystal system**: cubic
**VASP energy**: -2.71 eV/atom

a b c (Å): 3.9902 3.9902 3.9902
angles (deg): 90.00 90.00 90.00
Fractional coordinates of all 5 atoms:
H1 0.0000 0.5000 0.0000
H2 0.5000 0.0000 0.0000
H3 0.0000 0.0000 0.5000
Si1 0.5000 0.5000 0.5000
Te1 0.0000 0.0000 0.0000

=====

Entry 3:
A plane-wave DFT calculation with GGA-PBE was carried out for a geometry-optimized Li2InPb structure.

Calculated values
**Symmetry**: P4/mmm, No. 123
**Polymorph energy (0 for the lowest one)**: 0.010 eV per atom
**Crystal system**: tetragonal
**VASP energy**: -2.84 eV/atom
**DFT formation energy**: -0.2671 eV per atom

a b c (Å): 4.8355 4.8355 3.6221
angles (deg): 90.00 90.00 90.04
Fractional coordinates of all 4 atoms:
Li1 0.0000 0.0000 0.0000
Li2 0.5000 0.5000 0.0000
Pb1 0.5000 0.0000 0.5000
In1 0.0000 0.5000 0.5000

=====

Entry 4:
A plane-wave DFT calculation with GGA-PBE was carried out for a geometry-optimized Hf4Co3Ir structure.

Calculated values
**Symmetry**: R-3m, No. 166
**Crystal system**: trigonal
**VASP energy**: -9.29 eV/atom
**DFT formation energy**: -0.5361 eV per atom

a b c (Å): 4.5194 4.5194 7.8159
angles (deg): 73.19 73.19 60.00
Fractional coordinates of all 8 atoms:
Co1 0.5000 0.5000 0.5000
Co2 0.2499 0.2499 0.2502
Co3 0.7501 0.7501 0.7498
Hf1 0.8727 0.8727 0.3818
Hf2 0.6226 0.6226 0.1321
Hf3 0.1273 0.1273 0.6182
Hf4 0.3774 0.3774 0.8679
Ir1 0.0000 0.0000 0.0000